Version i
The following is a PBE calculation of crystalline Mg2ScTc at its relaxed geometry, from Alexandria.

As for the density of states at the Fermi level: 0.72 states/eV per atom.

The structure belongs to space group Cm (No. 8); the cell edges are 9.907, 3.259 and 5.074 Å and the angles 90.00°, 110.39° and 90.00°. The asymmetric unit holds Mg at (0.000, 0.000, 0.000), Mg at (0.237, 0.000, 0.799), Sc at (0.286, 0.500, 0.347) and Tc at (0.011, 0.500, 0.493).

Version ii
The following is a PBE calculation of crystalline Mg2ScTc at its relaxed geometry, from Alexandria.

As for the density of states at the Fermi level: 0.99 states/eV per atom.

The structure belongs to space group Pmmm (No. 47); the cell edges are 3.789, 4.182 and 4.703 Å and the angles 90.00°, 90.00° and 90.00°. The asymmetric unit holds Mg at (0.000, 0.000, 0.000), Mg at (0.500, 0.500, 0.000), Sc at (0.000, 0.500, 0.500) and Tc at (0.500, 0.000, 0.500).

Computed relative energies in units of meV/atom: version i 5; version ii 0

Version i
The following is a PBE calculation of crystalline LiMoCl at its relaxed geometry, from Alexandria.

As for the density of states at the Fermi level: 0.86 states/eV per atom.

The structure belongs to space group P-6m2 (No. 187); the cell edges are 4.3045, 4.3045 and 2.8407 Å and the angles 90.00°, 90.00° and 120.00°. The asymmetric unit holds Li at (0.0000, 0.0000, 0.0000), Mo at (0.3333, 0.6667, 0.5000) and Cl at (0.6667, 0.3333, 0.5000).

Version ii
The following is a PBE calculation of crystalline LiMoCl at its relaxed geometry, from Alexandria.

As for the density of states at the Fermi level: 0.53 states/eV per atom.

The structure belongs to space group Fmm2 (No. 42); the cell edges are 3.077, 4.986 and 12.651 Å and the angles 90.00°, 90.00° and 90.00°. The asymmetric unit holds Li at (0.000, 0.000, 0.000), Mo at (0.000, 0.000, 0.313) and Cl at (0.000, 0.000, 0.651).

Computed relative energies in units of meV/atom: version i 287; version ii 0

Version i
The following is a PBE calculation of crystalline Sr2AlBr at its relaxed geometry, from Alexandria.

As for the density of states at the Fermi level: 0.67 states/eV per atom.

The structure belongs to space group I-4m2 (No. 119); the cell edges are 4.615, 4.615 and 13.527 Å and the angles 90.00°, 90.00° and 90.00°. The asymmetric unit holds Sr at (0.000, 0.000, 0.000), Sr at (0.000, 0.500, 0.250), Al at (0.000, 0.500, 0.750) and Br at (0.000, 0.000, 0.500).

Version ii
The following is a PBE calculation of crystalline Sr2AlBr at its relaxed geometry, from Alexandria.

As for the density of states at the Fermi level: 1.29 states/eV per atom.

The structure belongs to space group F-43m (No. 216); the cell edges are 8.192, 8.192 and 8.192 Å and the angles 90.00°, 90.00° and 90.00°. The asymmetric unit holds Sr at (0.000, 0.000, 0.000), Sr at (0.250, 0.250, 0.250), Al at (0.000, 0.000, 0.500) and Br at (0.250, 0.250, 0.750).

Computed relative energies in units of meV/atom: version i 0; version ii 455

Version i
The following is a PBE calculation of crystalline MnCr2Ag at its relaxed geometry, from Alexandria.

As for the density of states at the Fermi level: 0.81 states/eV per atom.

The structure belongs to space group Pmmm (No. 47); the cell edges are 2.798, 3.432 and 5.591 Å and the angles 90.00°, 90.00° and 90.00°. The asymmetric unit holds Mn at (0.000, 0.000, 0.000), Cr at (0.500, 0.500, 0.185) and Ag at (0.000, 0.000, 0.500).

Version ii
The following is a PBE calculation of crystalline MnCr2Ag at its relaxed geometry, from Alexandria.

As for the density of states at the Fermi level: 1.12 states/eV per atom.

The structure belongs to space group P4/mmm (No. 123); the cell edges are 3.722, 3.722 and 3.893 Å and the angles 90.00°, 90.00° and 90.00°. The asymmetric unit holds Mn at (0.000, 0.000, 0.000), Cr at (0.000, 0.500, 0.500) and Ag at (0.500, 0.500, 0.000).

Computed relative energies in units of meV/atom: version i 0; version ii 125